A geometry-optimized Ca2HgS structure. Source: Alexandria via LeMat-Bulk, functional GGA-PBE. Values from VASP.

Cell and atoms, written as Quantum ESPRESSO input:
```
&SYSTEM
  ibrav = 0, nat = 16, ntyp = 3
/
ATOMIC_SPECIES
Ca 40.08 Ca.upf
Hg 200.59 Hg.upf
S 32.06 S.upf
ATOMIC_POSITIONS angstrom
Ca 1.612 1.952 0.976
Ca 1.952 5.517 2.928
Ca 1.952 6.197 6.833
Ca 2.293 1.952 4.881
Ca 5.517 5.857 4.881
Ca 5.857 1.612 6.833
Ca 5.857 2.293 2.928
Ca 6.197 5.857 0.976
Hg 0.000 0.000 3.904
Hg 0.000 3.905 5.857
Hg 3.905 0.000 1.952
Hg 3.905 3.905 0.000
S 0.000 0.000 0.000
S 0.000 3.905 1.952
S 3.905 0.000 5.857
S 3.905 3.905 3.904
CELL_PARAMETERS angstrom
7.809 0.000 0.000
0.000 7.809 0.000
0.000 0.000 7.809
```

Computed properties:
Energy relative to the lowest polymorph listed for this composition, meV per atom: 190.9
Electronic total energy, eV per atom: -3.105
Uncorrected formation energy, meV per atom: -997
Total moment, μB/cell: 0.0
SG: I-42d, No. 122

A geometry-optimized CaHgS2 structure. Source: Alexandria via LeMat-Bulk, functional GGA-PBE. Values from VASP.

Cell and atoms, written as Quantum ESPRESSO input:
```
&SYSTEM
  ibrav = 0, nat = 8, ntyp = 3
/
ATOMIC_SPECIES
Ca 40.08 Ca.upf
Hg 200.59 Hg.upf
S 32.06 S.upf
ATOMIC_POSITIONS angstrom
Ca 0.000 0.000 0.000
Ca 3.612 1.993 0.000
Hg -1.426 1.993 3.187
Hg 2.187 0.000 3.187
S -0.489 0.000 4.773
S 1.250 1.993 1.601
S 3.123 1.993 4.773
S 4.863 0.000 1.601
CELL_PARAMETERS angstrom
7.225 0.000 0.000
0.000 3.987 0.000
-2.851 0.000 6.375
```

Computed properties:
Electronic total energy, eV per atom: -3.640
Uncorrected formation energy, meV per atom: -1000
Total moment, μB/cell: 0.0
SG: C2/m, No. 12

A geometry-optimized Ca2HgS2 structure. Source: Alexandria via LeMat-Bulk, functional GGA-PBE. Values from VASP.

Cell and atoms, written as Quantum ESPRESSO input:
```
&SYSTEM
  ibrav = 0, nat = 10, ntyp = 3
/
ATOMIC_SPECIES
Ca 40.08 Ca.upf
Hg 200.59 Hg.upf
S 32.06 S.upf
ATOMIC_POSITIONS angstrom
Ca 1.237 2.760 0.000
Ca 2.760 6.758 0.000
Ca 5.235 1.237 0.000
Ca 6.758 5.235 0.000
Hg 0.000 0.000 1.803
Hg 3.997 3.997 1.803
S 1.175 5.173 1.803
S 2.822 1.175 1.803
S 5.173 6.820 1.803
S 6.820 2.822 1.803
CELL_PARAMETERS angstrom
7.995 0.000 0.000
0.000 7.995 0.000
0.000 0.000 3.605
```

Computed properties:
Energy relative to the lowest polymorph listed for this composition, meV per atom: 11.1
Electronic total energy, eV per atom: -3.886
Uncorrected formation energy, meV per atom: -1374
Total moment, μB/cell: 0.0
SG: P4/mbm, No. 127

A geometry-optimized CaHgS2 structure. Source: Alexandria via LeMat-Bulk, functional GGA-PBE. Values from VASP.

Cell and atoms, written as Quantum ESPRESSO input:
```
&SYSTEM
  ibrav = 0, nat = 12, ntyp = 3
/
ATOMIC_SPECIES
Ca 40.08 Ca.upf
Hg 200.59 Hg.upf
S 32.06 S.upf
ATOMIC_POSITIONS angstrom
Ca 0.000 0.000 0.000
Ca 0.000 2.513 14.756
Ca 2.176 1.256 7.378
Hg 0.000 0.000 11.067
Hg 0.000 2.513 3.689
Hg 2.176 1.256 18.445
S 0.000 0.000 8.736
S 0.000 0.000 13.399
S 0.000 2.513 1.358
S 0.000 2.513 6.020
S 2.176 1.256 16.114
S 2.176 1.256 20.777
CELL_PARAMETERS angstrom
4.352 0.000 0.000
-2.176 3.769 0.000
0.000 0.000 22.135
```

Computed properties:
Electronic total energy, eV per atom: -3.739
Uncorrected formation energy, meV per atom: -1099
Total moment, μB/cell: 0.0
SG: R-3m, No. 166

A geometry-optimized CaHgS structure. Source: Alexandria via LeMat-Bulk, functional GGA-PBE. Values from VASP.

Cell and atoms, written as Quantum ESPRESSO input:
```
&SYSTEM
  ibrav = 0, nat = 6, ntyp = 3
/
ATOMIC_SPECIES
Ca 40.08 Ca.upf
Hg 200.59 Hg.upf
S 32.06 S.upf
ATOMIC_POSITIONS angstrom
Ca 0.000 0.000 0.000
Ca 3.563 2.057 0.000
Hg 1.183 2.057 2.316
Hg 4.746 0.000 2.316
S 0.029 0.000 4.367
S 3.593 2.057 4.367
CELL_PARAMETERS angstrom
7.127 0.000 0.000
0.000 4.115 0.000
-2.346 0.000 5.686
```

Computed properties:
Energy relative to the lowest polymorph listed for this composition, meV per atom: 108.0
Electronic total energy, eV per atom: -3.207
Uncorrected formation energy, meV per atom: -1063
Total moment, μB/cell: 0.0
SG: Cm, No. 8

A geometry-optimized CaHgS2 structure. Source: Alexandria via LeMat-Bulk, functional GGA-PBE. Values from VASP.

Cell and atoms, written as Quantum ESPRESSO input:
```
&SYSTEM
  ibrav = 0, nat = 16, ntyp = 3
/
ATOMIC_SPECIES
Ca 40.08 Ca.upf
Hg 200.59 Hg.upf
S 32.06 S.upf
ATOMIC_POSITIONS angstrom
Ca 0.000 4.677 1.064
Ca 0.000 19.843 3.193
Ca 1.985 7.583 3.193
Ca 1.985 16.937 1.064
Hg 0.000 11.152 1.064
Hg 0.000 13.369 3.193
Hg 1.985 1.109 3.193
Hg 1.985 23.412 1.064
S 0.000 7.482 1.064
S 0.000 9.972 3.193
S 0.000 14.548 1.064
S 0.000 17.038 3.193
S 1.985 2.288 1.064
S 1.985 4.778 3.193
S 1.985 19.743 1.064
S 1.985 22.233 3.193
CELL_PARAMETERS angstrom
3.970 0.000 0.000
0.000 24.520 0.000
0.000 0.000 4.257
```

Computed properties:
Electronic total energy, eV per atom: -3.531
Uncorrected formation energy, meV per atom: -891
Total moment, μB/cell: 0.0
SG: Cmcm, No. 63

> Look up the total moment of the third one.

0.0 μB/cell

> Which value of electronic total energy does entry 3 give?

-3.886 eV per atom

Repeat the fourth record exactly.
A geometry-optimized CaHgS2 structure. Source: Alexandria via LeMat-Bulk, functional GGA-PBE. Values from VASP.

Cell and atoms, written as Quantum ESPRESSO input:
```
&SYSTEM
  ibrav = 0, nat = 12, ntyp = 3
/
ATOMIC_SPECIES
Ca 40.08 Ca.upf
Hg 200.59 Hg.upf
S 32.06 S.upf
ATOMIC_POSITIONS angstrom
Ca 0.000 0.000 0.000
Ca 0.000 2.513 14.756
Ca 2.176 1.256 7.378
Hg 0.000 0.000 11.067
Hg 0.000 2.513 3.689
Hg 2.176 1.256 18.445
S 0.000 0.000 8.736
S 0.000 0.000 13.399
S 0.000 2.513 1.358
S 0.000 2.513 6.020
S 2.176 1.256 16.114
S 2.176 1.256 20.777
CELL_PARAMETERS angstrom
4.352 0.000 0.000
-2.176 3.769 0.000
0.000 0.000 22.135
```

Computed properties:
Electronic total energy, eV per atom: -3.739
Uncorrected formation energy, meV per atom: -1099
Total moment, μB/cell: 0.0
SG: R-3m, No. 166

Copy entry 3 word for word.
A geometry-optimized Ca2HgS2 structure. Source: Alexandria via LeMat-Bulk, functional GGA-PBE. Values from VASP.

Cell and atoms, written as Quantum ESPRESSO input:
```
&SYSTEM
  ibrav = 0, nat = 10, ntyp = 3
/
ATOMIC_SPECIES
Ca 40.08 Ca.upf
Hg 200.59 Hg.upf
S 32.06 S.upf
ATOMIC_POSITIONS angstrom
Ca 1.237 2.760 0.000
Ca 2.760 6.758 0.000
Ca 5.235 1.237 0.000
Ca 6.758 5.235 0.000
Hg 0.000 0.000 1.803
Hg 3.997 3.997 1.803
S 1.175 5.173 1.803
S 2.822 1.175 1.803
S 5.173 6.820 1.803
S 6.820 2.822 1.803
CELL_PARAMETERS angstrom
7.995 0.000 0.000
0.000 7.995 0.000
0.000 0.000 3.605
```

Computed properties:
Energy relative to the lowest polymorph listed for this composition, meV per atom: 11.1
Electronic total energy, eV per atom: -3.886
Uncorrected formation energy, meV per atom: -1374
Total moment, μB/cell: 0.0
SG: P4/mbm, No. 127